[1]
This record from Alexandria via LeMat-Bulk describes a relaxed structure of La3Ga2Ge4. The functional is GGA-PBE.

```
9
Lattice="-2.135 2.712 -2.474 3.204 -4.008 -3.515 -7.928 -3.836 2.636" Properties=species:S:1:pos:R:3 pbc="T T T"
La -6.001 -1.943 -0.597
La 0.000 0.000 0.000
La -0.858 -3.189 -2.756
Ga -2.889 -0.855 -2.090
Ga -3.970 -4.276 -1.263
Ge -0.584 0.003 -3.138
Ge -6.275 -5.135 -0.215
Ge -4.122 -3.140 -3.529
Ge -2.736 -1.992 0.177
```

* crystal system: monoclinic
* calculated formation energy: -0.673 eV per atom
* final energy: -5.040 eV per atom
* volume: 213 Å³/f.u.
* excess energy over the best structure of this formula in the dataset: 0.41 eV/f.u.
* size of the total moment: 0.0000 μB/atom

[2]
This record from Alexandria via LeMat-Bulk describes a relaxed structure of La4GaGe. The functional is GGA-PBE.

```
12
Lattice="6.330 -0.284 0.000 -1.948 8.323 0.000 -2.191 -4.020 6.914" Properties=species:S:1:pos:R:3 pbc="T T T"
La -2.056 -1.487 5.850
La 2.159 2.967 4.343
La -1.109 1.629 5.850
La -0.942 5.214 4.343
La 3.133 -1.194 2.572
La 3.300 2.391 1.064
La 0.032 1.053 2.572
La 4.247 5.507 1.064
Ga 0.608 4.091 1.687
Ga 1.582 -0.071 5.227
Ge 1.582 -0.071 0.018
Ge 0.608 4.091 6.897
```

* crystal system: monoclinic
* calculated formation energy: -0.480 eV per atom
* final energy: -5.039 eV per atom
* volume: 180 Å³/f.u.
* size of the total moment: 0.0000 μB/atom

[3]
This record from Alexandria via LeMat-Bulk describes a relaxed structure of La2GaGe. The functional is GGA-PBE.

```
4
Lattice="4.168 0.000 0.000 0.000 5.028 0.000 0.000 0.000 5.028" Properties=species:S:1:pos:R:3 pbc="T T T"
Ge 2.084 0.000 0.000
Ga 2.084 2.514 2.514
La 0.000 0.000 2.514
La 0.000 2.514 0.000
```

* crystal system: tetragonal
* calculated formation energy: -0.636 eV per atom
* final energy: -5.011 eV per atom
* volume: 105 Å³/f.u.
* size of the total moment: 0.0000 μB/atom

[4]
This record from Alexandria via LeMat-Bulk describes a relaxed structure of La5Ga2Ge2. The functional is GGA-PBE.

```
18
Lattice="8.170 0.000 0.000 0.000 8.092 0.000 0.000 -4.046 8.015" Properties=species:S:1:pos:R:3 pbc="T T T"
La 0.000 0.000 0.000
La 4.085 4.046 0.000
La 6.776 5.467 2.340
La 1.394 2.625 2.340
La 2.691 6.671 2.340
La 5.479 1.421 2.340
La 1.394 -1.421 5.675
La 6.776 1.421 5.675
La 5.479 -2.625 5.675
La 2.691 2.625 5.675
Ga 5.013 7.175 0.000
Ga 3.157 0.917 0.000
Ga 0.928 4.963 0.000
Ga 7.242 3.129 0.000
Ge 0.000 0.000 3.220
Ge 4.085 4.046 3.220
Ge 0.000 4.046 4.795
Ge 4.085 0.000 4.795
```

* crystal system: orthorhombic
* calculated formation energy: -0.672 eV per atom
* final energy: -5.108 eV per atom
* volume: 265 Å³/f.u.
* size of the total moment: 0.0000 μB/atom

[5]
This record from Alexandria via LeMat-Bulk describes a relaxed structure of La4Ga3Ge. The functional is GGA-PBE.

```
8
Lattice="-4.025 -2.140 0.045 0.117 -0.132 4.200 -5.434 10.229 0.472" Properties=species:S:1:pos:R:3 pbc="T T T"
Ge -2.345 -0.399 2.156
Ga -3.030 5.748 2.368
Ga -2.339 4.404 0.203
Ga -7.067 8.444 0.461
La -3.904 2.535 2.292
La -4.609 8.719 2.505
La -0.764 1.438 0.066
La -5.493 5.482 0.325
```

* crystal system: orthorhombic
* calculated formation energy: -0.676 eV per atom
* final energy: -4.852 eV per atom
* volume: 222 Å³/f.u.
* size of the total moment: 0.0581 μB/atom

[6]
This record from Alexandria via LeMat-Bulk describes a relaxed structure of La3GaGe4. The functional is GGA-PBE.

```
8
Lattice="-0.660 2.224 4.015 -5.932 -0.646 -0.618 3.640 -7.568 2.113" Properties=species:S:1:pos:R:3 pbc="T T T"
La -2.966 -0.323 -0.309
La 0.130 -2.543 1.430
La -3.082 -3.447 4.080
Ga -0.330 1.112 2.007
Ge -0.966 -5.222 2.733
Ge -1.986 -0.769 2.777
Ge -4.434 -1.035 2.521
Ge 1.482 -4.955 2.989
```

* crystal system: orthorhombic
* calculated formation energy: -0.620 eV per atom
* final energy: -5.154 eV per atom
* volume: 217 Å³/f.u.
* size of the total moment: 0.0000 μB/atom